The following is a PBE+U calculation of an optimized crystal structure of MnHO2, from Alexandria via LeMat-Bulk.

a b c (Å): 6.080 6.084 9.002
angles (deg): 90.00 90.00 90.00
Each line ends with the local moment (μB).
Atoms (fractional coordinates):
Mn  0.219  0.750  0.750  3.96
Mn  0.781  0.250  0.250  3.96
Mn  0.719  0.750  0.750  3.96
Mn  0.281  0.250  0.250  3.96
Mn  0.000  0.530  0.500  3.96
Mn  0.500  0.970  0.000  3.96
Mn  0.000  0.030  0.500  3.96
Mn  0.500  0.470  0.000  3.96
H  0.038  0.675  0.240  0.01
H  0.462  0.325  0.740  0.01
H  0.574  0.784  0.489  0.01
H  0.926  0.216  0.989  0.01
H  0.961  0.174  0.760  0.01
H  0.538  0.826  0.260  0.01
H  0.426  0.284  0.511  0.01
H  0.074  0.716  0.011  0.01
O  0.971  0.554  0.721  -0.11
O  0.528  0.975  0.221  0.04
O  0.972  0.025  0.721  0.04
O  0.529  0.446  0.221  -0.11
O  0.196  0.778  0.529  -0.11
O  0.776  0.224  0.028  0.04
O  0.724  0.776  0.528  0.04
O  0.304  0.222  0.029  -0.11
O  0.029  0.054  0.279  -0.11
O  0.473  0.475  0.779  0.04
O  0.028  0.525  0.279  0.04
O  0.471  0.946  0.779  -0.11
O  0.276  0.276  0.472  0.04
O  0.696  0.722  0.971  -0.11
O  0.804  0.278  0.471  -0.11
O  0.225  0.724  0.972  0.04

Summary:
DFT total energy = -6.53 eV/atom